# 1
A relaxed structure of LiSnHRu2. Source: the Alexandria database, functional GGA-PBE.

a = 4.1160 Å, b = 4.1160 Å, c = 3.6962 Å
α = 90.00°, β = 90.00°, γ = 90.00°
Positions (direct):
Ru1 0.0000 0.5000 0.0000
H1 0.0000 0.0000 0.0000
Ru2 0.5000 0.0000 0.0000
Sn1 0.5000 0.5000 0.5000
Li1 0.0000 0.0000 0.5000



# 2
A relaxed structure of CrRe2Se. Source: the Alexandria database, functional GGA-PBE.

Properties
- Excess energy over the best structure of this formula in the dataset: 476.2 meV per atom
- ΔE_f (raw): 2.7 eV per formula unit

a = 5.0828 Å, b = 5.0828 Å, c = 5.0828 Å
α = 137.03°, β = 137.03°, γ = 62.40°
Site moments in Bohr magnetons follow the coordinates.
Positions (direct):
Se1 0.2500 0.7500 0.5000  -0.02
Re1 0.0000 0.0000 0.0000  -0.29
Re2 0.5000 0.5000 0.0000  -0.29
Cr1 0.7500 0.2500 0.5000  2.12



no.,E (Ry/atom)
1,-0.413
2,-0.648